Computed, not measured: a relaxed RbLiPuCl6 crystal at the PBE level of DFT.

## Properties
uncorrected formation energy: -1.808 eV per atom
ρ: 3.08 g cm⁻³

Lattice parameters (Å, degrees): 6.7992 6.7992 14.7862 90.00 90.00 120.00
With the nearest neighbours (Å) after each atom.
Space group P-31c (No. 163)
Symmetry-distinct sites (fractional):
Rb1 0.0000 0.0000 0.0000 [2 per cell]  6 Cl 3.34
Li1 0.3333 0.6667 0.2500 [2 per cell]  6 Cl 2.63
Pu1 0.3333 0.6667 0.7500 [2 per cell]  6 Cl 2.61
Cl1 0.0021 0.3695 0.6498 [12 per cell]  1 Pu 2.61, 1 Li 2.63

Computed, not measured: a relaxed LiPuScCl6 crystal at the PBE level of DFT.

## Properties
uncorrected formation energy: -1.922 eV per atom
ρ: 3.68 g cm⁻³

Lattice parameters (Å, degrees): 6.5475 6.5475 12.3726 90.00 90.00 120.00
With the nearest neighbours (Å) after each atom.
Space group P-31c (No. 163)
Symmetry-distinct sites (fractional):
Li1 0.3333 0.6667 0.2500 [2 per cell]  6 Cl 2.59
Pu1 0.0000 0.0000 0.0000 [2 per cell]  6 Cl 2.84
Sc1 0.3333 0.6667 0.7500 [2 per cell]  6 Cl 2.54
Cl1 0.0064 0.3555 0.6339 [12 per cell]  1 Sc 2.54, 1 Li 2.59, 1 Pu 2.84

Computed, not measured: a relaxed LiPuSnCl6 crystal at the PBE level of DFT.

## Properties
uncorrected formation energy: -1.560 eV per atom
ρ: 3.85 g cm⁻³

Lattice parameters (Å, degrees): 6.8265 6.8265 12.4448 90.00 90.00 120.00
With the nearest neighbours (Å) after each atom.
Space group P-31c (No. 163)
Symmetry-distinct sites (fractional):
Li1 0.3333 0.6667 0.2500 [2 per cell]  6 Cl 2.62
Pu1 0.3333 0.6667 0.7500 [2 per cell]  6 Cl 2.73
Sn1 0.0000 0.0000 0.0000 [2 per cell]  6 Cl 2.88
Cl1 0.0126 0.3537 0.1315 [12 per cell]  1 Li 2.62, 1 Pu 2.73, 1 Sn 2.88

Computed, not measured: a relaxed SrLi2PuCl8 crystal at the PBE level of DFT.

## Properties
uncorrected formation energy: -1.876 eV per atom
ρ: 3.08 g cm⁻³

Lattice parameters (Å, degrees): 6.2455 6.2659 8.6848 89.84 89.84 85.64
With the nearest neighbours (Å) after each atom.
Space group P-1 (No. 2)
Symmetry-distinct sites (fractional):
Sr1 0.0000 0.0000 0.0000 [1 per cell]  6 Cl 2.86-2.97
Li1 0.4986 0.4986 0.1896 [2 per cell]  4 Cl 2.39-2.57
Pu1 0.0000 0.0000 0.5000 [1 per cell]  6 Cl 2.53-2.66
Cl1 0.2172 0.7968 0.2729 [2 per cell]  1 Li 2.57, 1 Pu 2.66
Cl2 0.2172 0.7968 0.7270 [2 per cell]  1 Li 2.57, 1 Pu 2.66
Cl3 0.2671 0.2830 0.4989 [2 per cell]  1 Pu 2.53
Cl4 0.3058 0.3178 0.9995 [2 per cell]  2 Li 2.39

Computed, not measured: a relaxed SrLiPuCl6 crystal at the PBE level of DFT.

## Properties
uncorrected formation energy: -2.056 eV per atom
ρ: 3.54 g cm⁻³

Lattice parameters (Å, degrees): 6.8517 6.8517 12.7192 90.00 90.00 120.00
With the nearest neighbours (Å) after each atom.
Space group P-31c (No. 163)
Symmetry-distinct sites (fractional):
Sr1 0.0000 0.0000 0.0000 [2 per cell]  6 Cl 2.94
Li1 0.3333 0.6667 0.2500 [2 per cell]  6 Cl 2.62
Pu1 0.3333 0.6667 0.7500 [2 per cell]  6 Cl 2.73
Cl1 0.0122 0.3565 0.1335 [12 per cell]  1 Li 2.62, 1 Pu 2.73

Computed, not measured: a relaxed LiTbPuCl6 crystal at the PBE level of DFT.

## Properties
uncorrected formation energy: -1.974 eV per atom
ρ: 4.20 g cm⁻³

Lattice parameters (Å, degrees): 6.7229 6.7229 12.5899 90.00 90.00 120.00
With the nearest neighbours (Å) after each atom.
Space group P-31c (No. 163)
Symmetry-distinct sites (fractional):
Li1 0.3333 0.6667 0.2500 [2 per cell]  6 Cl 2.62
Tb1 0.3333 0.6667 0.7500 [2 per cell]  6 Cl 2.67
Pu1 0.0000 0.0000 0.0000 [2 per cell]  6 Cl 2.88
Cl1 0.0069 0.3528 0.1321 [12 per cell]  1 Li 2.62, 1 Tb 2.67, 1 Pu 2.88

Computed, not measured: a relaxed LiPu2TlCl8 crystal at the PBE level of DFT.

## Properties
uncorrected formation energy: -1.711 eV per atom
ρ: 4.27 g cm⁻³

Lattice parameters (Å, degrees): 6.6373 8.5339 6.7857 90.00 96.56 90.00
With the nearest neighbours (Å) after each atom.
Space group P2/m (No. 10)
Symmetry-distinct sites (fractional):
Li1 0.0000 0.0000 0.0000 [1 per cell]  4 Cl 2.57
Pu1 0.5000 0.2415 0.5000 [2 per cell]  6 Cl 2.68-2.79
Tl1 0.0000 0.5000 0.0000 [1 per cell]  6 Cl 3.07-3.34
Cl1 0.2316 0.2109 0.1758 [4 per cell]  1 Li 2.57, 1 Pu 2.68
Cl2 0.2919 0.0000 0.6520 [2 per cell]  2 Pu 2.75
Cl3 0.2980 0.5000 0.6360 [2 per cell]  2 Pu 2.79

Computed, not measured: a relaxed Li2PuTlCl8 crystal at the PBE level of DFT.

## Properties
uncorrected formation energy: -1.441 eV per atom
ρ: 3.82 g cm⁻³

Lattice parameters (Å, degrees): 6.1892 8.4418 6.2164 90.00 93.71 90.00
With the nearest neighbours (Å) after each atom.
Space group P2/m (No. 10)
Symmetry-distinct sites (fractional):
Li1 0.0000 0.2418 0.0000 [2 per cell]  6 Cl 2.54-2.74
Pu1 0.5000 0.5000 0.5000 [1 per cell]  6 Cl 2.59-2.62
Tl1 0.5000 0.0000 0.5000 [1 per cell]  6 Cl 2.73-2.96
Cl1 0.1794 0.0000 0.1765 [2 per cell]  2 Li 2.54, 1 Tl 2.73
Cl2 0.1985 0.5000 0.1912 [2 per cell]  1 Pu 2.59, 2 Li 2.74
Cl3 0.2950 0.2768 0.6978 [4 per cell]  1 Pu 2.62, 1 Li 2.72